1.
Entry from the Alexandria database: a relaxed structure of Li2AlNi (PBE-GGA).

Results
**Total energy**: -3.2960 eV/atom
**Fermi-level density of states**: 2.927 states/eV/f.u.
**Total magnetization**: 0.000 μB/f.u.

Lattice parameters (Å, degrees): 8.9444 8.9444 8.9444 17.25 17.25 17.25
Closest atoms and distances in Å follow each position.
Positions (direct):
Li 0.5069 0.5069 0.5069  3 Ni 2.54, 6 Li 2.68, 3 Al 2.84
Li 0.9931 0.9931 0.9931  3 Ni 2.54, 6 Li 2.68, 3 Al 2.84
Al 0.7500 0.7500 0.7500  6 Al 2.68, 6 Li 2.84
Ni 0.2500 0.2500 0.2500  6 Li 2.54, 6 Ni 2.68

---

2.
Entry from the Alexandria database: a relaxed structure of Li2Al2Ni3 (PBE-GGA).

Results
**Total energy**: -4.4206 eV/atom
**Fermi-level density of states**: 3.071 states/eV/f.u.
**Total magnetization**: 0.000 μB/f.u.

Lattice parameters (Å, degrees): 4.0778 4.0895 6.5368 90.03 108.36 120.01
Closest atoms and distances in Å follow each position.
Positions (direct):
Li 0.2821 0.1408 0.4240  3 Li 2.53-2.54, 2 Ni 2.57-2.58, 3 Al 2.62
Li 0.7179 0.8592 0.5760  3 Li 2.53-2.54, 2 Ni 2.57-2.58, 3 Al 2.62
Ni 0.4345 0.7169 0.1533  4 Al 2.38-2.41, 3 Ni 2.53-2.54, 1 Li 2.57
Ni 0.0000 0.0000 0.0000  6 Ni 2.53-2.54, 2 Li 2.58, 6 Al 2.75-2.77
Ni 0.5655 0.2831 0.8467  4 Al 2.38-2.41, 3 Ni 2.53-2.54, 1 Li 2.57
Al 0.8234 0.4114 0.2369  4 Ni 2.38-2.41, 3 Li 2.62
Al 0.1766 0.5886 0.7631  4 Ni 2.38-2.41, 3 Li 2.62

---

> The highest Fermi-level density of states belongs to which entry?

Li2Al2Ni3

---

> Which value of total energy does entry 1 give?

-3.2960 eV/atom